# 1
A plane-wave DFT calculation with PBE-GGA was carried out for an optimized crystal structure of MgCdS2.

Structure (CIF):
```
data_MgCdS2
_cell_length_a 4.374
_cell_length_b 7.079
_cell_length_c 7.141
_cell_angle_alpha 104.26
_cell_angle_beta 107.82
_cell_angle_gamma 107.99
_space_group_name_H-M_alt 'P -1'
_space_group_IT_number 2
loop_
_space_group_symop_operation_xyz
'x,y,z'
'-x,-y,-z'
loop_
_atom_site_label
_atom_site_fract_x
_atom_site_fract_y
_atom_site_fract_z
Mg1 0.169 0.296 0.044
Cd1 0.164 0.789 0.539
S1 0.163 0.049 0.277
S2 0.172 0.536 0.806
```


# 2
A plane-wave DFT calculation with PBE-GGA was carried out for an optimized crystal structure of MgCdS2.

Structure (CIF):
```
data_MgCdS2
_cell_length_a 6.891
_cell_length_b 3.871
_cell_length_c 12.840
_cell_angle_alpha 90.00
_cell_angle_beta 90.00
_cell_angle_gamma 90.00
_space_group_name_H-M_alt 'P n m a'
_space_group_IT_number 62
loop_
_space_group_symop_operation_xyz
'x,y,z'
'-x,-y,-z'
'-x+1/2,-y,z+1/2'
'x+1/2,y,-z+1/2'
'x+1/2,-y+1/2,-z+1/2'
'-x+1/2,y+1/2,z+1/2'
'-x,y+1/2,-z'
'x,-y+1/2,z'
loop_
_atom_site_label
_atom_site_fract_x
_atom_site_fract_y
_atom_site_fract_z
Mg1 0.106 0.250 0.114
Cd1 0.075 0.750 0.383
S1 0.076 0.750 0.720
S2 0.220 0.750 0.998
```


# 3
A plane-wave DFT calculation with PBE-GGA was carried out for an optimized crystal structure of MgCd2S3.

Structure (CIF):
```
data_MgCd2S3
_cell_length_a 4.138
_cell_length_b 12.399
_cell_length_c 5.841
_cell_angle_alpha 90.00
_cell_angle_beta 90.00
_cell_angle_gamma 90.00
_space_group_name_H-M_alt 'I m m 2'
_space_group_IT_number 44
loop_
_space_group_symop_operation_xyz
'x,y,z'
'-x,-y,z'
'-x,y,z'
'x,-y,z'
'x+1/2,y+1/2,z+1/2'
'-x+1/2,-y+1/2,z+1/2'
'-x+1/2,y+1/2,z+1/2'
'x+1/2,-y+1/2,z+1/2'
loop_
_atom_site_label
_atom_site_fract_x
_atom_site_fract_y
_atom_site_fract_z
Mg1 0.000 0.000 0.000
Cd1 0.000 0.335 0.997
S1 0.000 0.162 0.756
S2 0.000 0.500 0.732
```


# 4
A plane-wave DFT calculation with PBE-GGA was carried out for an optimized crystal structure of Mg2CdS.

Structure (CIF):
```
data_Mg2CdS
_cell_length_a 7.294
_cell_length_b 7.294
_cell_length_c 6.908
_cell_angle_alpha 90.00
_cell_angle_beta 90.00
_cell_angle_gamma 90.00
_space_group_name_H-M_alt 'I -4 2 d'
_space_group_IT_number 122
_space_group_name_Hall 'I -4 2bw'
loop_
_atom_site_label
_atom_site_fract_x
_atom_site_fract_y
_atom_site_fract_z
Mg1 0.198 0.250 0.125
Cd1 0.000 0.000 0.500
S1 0.000 0.000 0.000
```


# 5
A plane-wave DFT calculation with PBE-GGA was carried out for an optimized crystal structure of MgCd3S4.

Structure (CIF):
```
data_MgCd3S4
_cell_length_a 5.867
_cell_length_b 5.867
_cell_length_c 5.867
_cell_angle_alpha 90.00
_cell_angle_beta 90.00
_cell_angle_gamma 90.00
_space_group_name_H-M_alt 'P -4 3 m'
_space_group_IT_number 215
_space_group_name_Hall 'P -4 2 3'
loop_
_atom_site_label
_atom_site_fract_x
_atom_site_fract_y
_atom_site_fract_z
Mg1 0.000 0.000 0.000
Cd1 0.000 0.500 0.500
S1 0.243 0.243 0.243
```


# 6
A plane-wave DFT calculation with PBE-GGA was carried out for an optimized crystal structure of MgCdS2.

Structure (CIF):
```
data_MgCdS2
_cell_length_a 3.797
_cell_length_b 5.360
_cell_length_c 7.620
_cell_angle_alpha 90.00
_cell_angle_beta 90.00
_cell_angle_gamma 90.00
_space_group_name_H-M_alt 'P m m n'
_space_group_IT_number 59
loop_
_space_group_symop_operation_xyz
'x,y,z'
'-x,-y,-z'
'-x+1/2,-y+1/2,z'
'x+1/2,y+1/2,-z'
'x+1/2,-y,-z'
'-x+1/2,y,z'
'-x,y+1/2,-z'
'x,-y+1/2,z'
loop_
_atom_site_label
_atom_site_fract_x
_atom_site_fract_y
_atom_site_fract_z
Mg1 0.250 0.250 0.121
Cd1 0.250 0.250 0.628
S1 0.250 0.750 0.114
S2 0.250 0.750 0.636
```


Let's list raw formation energy in order: -965.4; -853.5; -897.3; -455.7; -831.8; -950.3 meV/atom.
Let's list total magnetization in order: 0.00; 0.00; 0.00; 0.00; 0.00; 0.00 μB/f.u..